Here is a geometry-optimized Cd2InPb structure from the Alexandria database. Energies are from GGA-PBEsol.

Cell: 7.3592 7.3592 7.3592 Å, 90.00 90.00 90.00°
Space group F-43m (No. 216)
Asymmetric unit:
Cd (0.0000, 0.0000, 0.0000) [4 per cell]
Cd (0.2500, 0.2500, 0.2500) [4 per cell]
In (0.0000, 0.0000, 0.5000) [4 per cell]
Pb (0.2500, 0.2500, 0.7500) [4 per cell]

## Properties
For the formation energy, the calculation gives 0.10 eV/atom. The density of states at the Fermi level is 8.170 states/eV per cell.